Entry 1:
Crystalline P2PtSe2 at its relaxed geometry, computed with PBE.

a = 3.710 Å, b = 10.825 Å, c = 11.182 Å
α = 90.00°, β = 90.00°, γ = 90.00°
Space group Cmc2_1 (No. 36)
Inequivalent atoms, fractional coordinates:
1 P 0.000 0.082 0.000 x4
2 P 0.000 0.133 0.742 x4
3 Pt 0.000 0.323 0.374 x4
4 Se 0.000 0.074 0.209 x4
5 Se 0.000 0.293 0.993 x4

## Properties
- size of the total moment (Bohr magnetons per cell) = 0.0
- energy (eV per atom) = -4.77
- formation energy (no corrections) (kcal/mol of atoms) = -0.07

---

Entry 2:
Crystalline ZnCuAu5 at its relaxed geometry, computed with PBE.

a = 7.638 Å, b = 9.436 Å, c = 7.836 Å
α = 90.00°, β = 116.19°, γ = 90.00°
Space group C2/c (No. 15)
Inequivalent atoms, fractional coordinates:
1 Zn 0.000 0.230 0.250 x4
2 Cu 0.250 0.250 0.000 x4
3 Au 0.000 0.050 0.750 x4
4 Au 0.123 0.301 0.628 x8
5 Au 0.202 0.478 0.389 x8

## Properties
- size of the total moment (Bohr magnetons per cell) = 0.0
- energy of formation (meV/atom) = 15
- energy (eV per atom) = -3.09

---

Which formula does entry 1 have?
P2PtSe2

---

The lowest energy belongs to which entry?
P2PtSe2

---

Which of these has the highest energy?
ZnCuAu5